Here is crystalline K2FeIr at its relaxed geometry from Alexandria via LeMat-Bulk. Energies are from GGA-PBEsol.

Computed properties:
**DFT total energy**: -15.50 eV/f.u.
**Symmetry**: No. 123
**Calculated formation energy**: 5.55 eV per formula unit

Structure (POSCAR):
```
K2FeIr
1.0
4.3177 0.0000 0.0000
0.0000 4.3177 0.0000
0.0000 0.0000 5.2297
K Fe Ir
2 1 1
Cartesian
0.0000 0.0000 1.2904
0.0000 0.0000 3.9393
2.1589 2.1589 2.6148
2.1589 2.1589 0.0000
```

---

Here is crystalline K2FeIr at its relaxed geometry from Alexandria via LeMat-Bulk. Energies are from GGA-PBEsol.

Computed properties:
**DFT total energy**: -16.19 eV/f.u.
**Symmetry**: No. 123
**Calculated formation energy**: 4.87 eV per formula unit

Structure (POSCAR):
```
K2FeIr
1.0
2.7311 0.0000 0.0000
0.0000 2.7311 0.0000
0.0000 0.0000 10.9668
K Fe Ir
2 1 1
Cartesian
0.0000 0.0000 2.5935
0.0000 0.0000 8.3732
1.3656 1.3656 5.4834
1.3656 1.3656 0.0000
```

---

Here is crystalline LaFeIr at its relaxed geometry from Alexandria via LeMat-Bulk. Energies are from GGA-PBEsol.

Computed properties:
**DFT total energy**: -23.54 eV/f.u.
**Symmetry**: No. 216
**Calculated formation energy**: 0.60 eV per formula unit

Structure (POSCAR):
```
LaFeIr
1.0
0.0000 3.1010 3.1010
3.1010 0.0000 3.1010
3.1010 3.1010 0.0000
La Fe Ir
1 1 1
Cartesian
0.0000 0.0000 0.0000
4.6515 4.6515 4.6515
3.1010 3.1010 3.1010
```

---

Here is crystalline Li2FeIr at its relaxed geometry from Alexandria via LeMat-Bulk. Energies are from GGA-PBEsol.

Computed properties:
**DFT total energy**: -22.61 eV/f.u.
**Symmetry**: No. 12
**Calculated formation energy**: 0.11 eV per formula unit

Structure (POSCAR):
```
Li2FeIr
1.0
2.5176 -4.4481 0.0000
2.5176 4.4481 0.0000
-1.1989 0.0000 2.2318
Li Fe Ir
2 1 1
Cartesian
1.2588 2.2240 0.0000
1.2588 -2.2240 0.0000
-0.5995 0.0000 1.1159
1.9181 0.0000 1.1159
```

---

Here is crystalline Li2FeIr at its relaxed geometry from Alexandria via LeMat-Bulk. Energies are from GGA-PBEsol.

Computed properties:
**DFT total energy**: -22.29 eV/f.u.
**Symmetry**: No. 123
**Calculated formation energy**: 0.43 eV per formula unit

Structure (POSCAR):
```
Li2FeIr
1.0
3.4800 0.0000 0.0000
0.0000 3.4800 0.0000
0.0000 0.0000 4.1847
Li Fe Ir
2 1 1
Cartesian
0.0000 1.7400 0.0000
1.7400 0.0000 0.0000
0.0000 0.0000 2.0924
1.7400 1.7400 2.0924
```

---

Here is crystalline Mg2FeIr at its relaxed geometry from Alexandria via LeMat-Bulk. Energies are from GGA-PBEsol.

Computed properties:
**DFT total energy**: -21.93 eV/f.u.
**Symmetry**: No. 65
**Calculated formation energy**: 0.29 eV per formula unit

Structure (POSCAR):
```
Mg2FeIr
1.0
2.7150 -3.8079 0.0000
2.7150 3.8079 0.0000
0.0000 0.0000 2.8824
Mg Fe Ir
2 1 1
Cartesian
1.3575 1.9039 0.0000
1.3575 -1.9039 0.0000
0.0000 0.0000 1.4412
2.7150 0.0000 1.4412
```

---

Here is crystalline MgFeIr2 at its relaxed geometry from Alexandria via LeMat-Bulk. Energies are from GGA-PBEsol.

Computed properties:
**DFT total energy**: -30.54 eV/f.u.
**Symmetry**: No. 12
**Calculated formation energy**: -0.22 eV per formula unit

Structure (POSCAR):
```
MgFeIr2
1.0
4.3829 -1.3635 0.0000
4.3829 1.3635 0.0000
-0.9307 0.0000 4.6667
Mg Fe Ir
1 1 2
Cartesian
0.0000 0.0000 0.0000
3.9176 0.0000 2.3334
1.4272 0.0000 3.4387
6.4079 0.0000 1.2280
```

---

Here is crystalline Mg2FeIr at its relaxed geometry from Alexandria via LeMat-Bulk. Energies are from GGA-PBEsol.

Computed properties:
**DFT total energy**: -22.32 eV/f.u.
**Symmetry**: No. 99
**Calculated formation energy**: -0.10 eV per formula unit

Structure (POSCAR):
```
Mg2FeIr
1.0
3.0068 0.0000 0.0000
0.0000 3.0068 0.0000
0.0000 0.0000 7.1007
Mg Fe Ir
2 1 1
Cartesian
0.0000 0.0000 0.0000
1.5034 1.5034 2.3934
0.0000 0.0000 4.0642
1.5034 1.5034 5.4045
```

---

Here is crystalline MgFeIr2 at its relaxed geometry from Alexandria via LeMat-Bulk. Energies are from GGA-PBEsol.

Computed properties:
**DFT total energy**: -30.66 eV/f.u.
**Symmetry**: No. 123
**Calculated formation energy**: -0.33 eV per formula unit

Structure (POSCAR):
```
MgFeIr2
1.0
4.2567 0.0000 0.0000
0.0000 4.2567 0.0000
0.0000 0.0000 2.9963
Mg Fe Ir
1 1 2
Cartesian
0.0000 0.0000 0.0000
2.1284 2.1284 0.0000
0.0000 2.1284 1.4982
2.1284 0.0000 1.4982
```

---

Here is crystalline Mg2FeIr at its relaxed geometry from Alexandria via LeMat-Bulk. Energies are from GGA-PBEsol.

Computed properties:
**DFT total energy**: -22.07 eV/f.u.
**Symmetry**: No. 47
**Calculated formation energy**: 0.16 eV per formula unit

Structure (POSCAR):
```
Mg2FeIr
1.0
3.1506 0.0000 0.0000
0.0000 4.3074 0.0000
0.0000 0.0000 4.3240
Mg Fe Ir
2 1 1
Cartesian
0.0000 0.0000 0.0000
1.5753 0.0000 2.1620
0.0000 2.1537 2.1620
1.5753 2.1537 0.0000
```

---

Here is crystalline MgFe2Ir at its relaxed geometry from Alexandria via LeMat-Bulk. Energies are from GGA-PBEsol.

Computed properties:
**DFT total energy**: -28.53 eV/f.u.
**Symmetry**: No. 166
**Calculated formation energy**: 0.94 eV per formula unit

Structure (POSCAR):
```
MgFe2Ir
1.0
1.3392 0.7732 8.6580
-1.3392 0.7732 8.6580
0.0000 -1.5464 8.6580
Mg Fe Ir
1 2 1
Cartesian
0.0000 0.0000 0.0000
0.0000 0.0000 6.4042
0.0000 0.0000 19.5697
0.0000 0.0000 12.9870
```

---

Here is crystalline MgFeIr2 at its relaxed geometry from Alexandria via LeMat-Bulk. Energies are from GGA-PBEsol.

Computed properties:
**DFT total energy**: -30.28 eV/f.u.
**Symmetry**: No. 44
**Calculated formation energy**: 0.05 eV per formula unit

Structure (POSCAR):
```
MgFeIr2
1.0
-1.4426 2.1542 4.4430
1.4426 -2.1542 4.4430
1.4426 2.1542 -4.4430
Mg Fe Ir
1 1 2
Cartesian
0.0000 0.0000 0.0000
1.4426 0.0000 2.2532
0.0000 0.0000 4.3274
0.0000 2.1542 2.1369
```